The following is a GGA-PBE calculation of a geometry-optimized K4Ru structure, from Alexandria.

Results
* ΔH_f (0 K): 0.85 eV per atom
* total moment: 0.350 μB per atom
* relative energy among the computed polymorphs: 0.0332 eV/atom

abc: 6.9177 6.9177 6.9177
angles: 109.47 109.47 109.47
Fractional coordinates of all 5 atoms:
K1 0.5000 0.0000 0.0000
K2 0.5000 0.5000 0.5000
K3 0.0000 0.5000 0.0000
K4 0.0000 0.0000 0.5000
Ru1 0.0000 0.0000 0.0000